{
  "formula": "YReP2",
  "functional": "PBEsol",
  "state": "optimized geometry",
  "lattice": [[3.358, 0.000, 0.000], [-1.679, 3.564, 0.017], [0.000, -1.640, 5.642]],
  "species": ["Y", "Re", "P", "P"],
  "fractional_positions": [[0.500, 0.000, 0.000], [0.000, 0.000, 0.500], [0.741, 0.482, 0.694], [0.259, 0.518, 0.306]],
  "e_form_ev_per_atom": -0.7527
}



{
  "formula": "ZnRe2P",
  "functional": "PBEsol",
  "state": "optimized geometry",
  "lattice": [[-1.920, 2.042, -0.782], [-1.850, -2.912, -3.060], [-1.101, -1.481, 4.248]],
  "species": ["Zn", "P", "Re", "Re"],
  "fractional_positions": [[0.500, 0.000, 0.000], [0.000, 0.500, 0.000], [0.282, 0.275, 0.564], [0.718, 0.725, 0.436]],
  "e_form_ev_per_atom": 0.1710
}



{
  "formula": "ZnRe3P",
  "functional": "PBEsol",
  "state": "optimized geometry",
  "lattice": [[4.332, 0.000, 0.000], [0.000, 4.332, 0.000], [0.000, 0.000, 4.332]],
  "species": ["P", "Re", "Zn", "Re", "Re"],
  "fractional_positions": [[0.000, 0.000, 0.000], [0.000, 0.500, 0.000], [0.500, 0.500, 0.500], [0.000, 0.000, 0.500], [0.500, 0.000, 0.000]],
  "e_form_ev_per_atom": 0.9968
}



{
  "formula": "ZrReP3",
  "functional": "PBEsol",
  "state": "optimized geometry",
  "lattice": [[4.865, 0.000, 0.000], [0.000, 4.865, 0.000], [0.000, 0.000, 4.865]],
  "species": ["P", "P", "Re", "Zr", "P"],
  "fractional_positions": [[0.000, 0.500, 0.000], [0.000, 0.000, 0.500], [0.500, 0.500, 0.500], [0.000, 0.000, 0.000], [0.500, 0.000, 0.000]],
  "e_form_ev_per_atom": 1.5036
}



{
  "formula": "Zr9Re4P",
  "functional": "PBEsol",
  "state": "optimized geometry",
  "lattice": [[8.368, 0.000, 0.000], [-4.184, 7.247, 0.000], [0.000, 0.000, 8.840]],
  "species": ["Re", "P", "Zr", "Zr", "Zr", "Zr", "Zr", "Re", "Re", "Zr", "P", "Zr", "Re", "Zr", "Zr", "Zr", "Zr", "Zr", "Re", "Zr", "Re", "Re", "Re", "Zr", "Zr", "Zr", "Zr", "Zr"],
  "fractional_positions": [[0.000, 0.000, 0.000], [0.333, 0.667, 0.250], [0.069, 0.535, 0.750], [0.398, 0.199, 0.954], [0.801, 0.602, 0.546], [0.465, 0.535, 0.750], [0.199, 0.398, 0.046], [0.000, 0.000, 0.500], [0.894, 0.106, 0.250], [0.931, 0.465, 0.250], [0.667, 0.333, 0.750], [0.602, 0.801, 0.454], [0.894, 0.787, 0.250], [0.199, 0.801, 0.046], [0.535, 0.069, 0.250], [0.199, 0.801, 0.454], [0.801, 0.199, 0.954], [0.602, 0.801, 0.046], [0.213, 0.106, 0.250], [0.398, 0.199, 0.546], [0.106, 0.213, 0.750], [0.106, 0.894, 0.750], [0.787, 0.894, 0.750], [0.801, 0.602, 0.954], [0.465, 0.931, 0.750], [0.801, 0.199, 0.546], [0.199, 0.398, 0.454], [0.535, 0.465, 0.250]],
  "e_form_ev_per_atom": -0.4220
}



{
  "formula": "Zr2ReP",
  "functional": "PBEsol",
  "state": "optimized geometry",
  "lattice": [[-0.859, 1.881, -2.314], [-2.547, 0.789, 1.587], [3.618, 5.456, 3.094]],
  "species": ["Re", "P", "Zr", "Zr"],
  "fractional_positions": [[0.500, 0.500, 0.701], [0.000, 0.000, 0.548], [0.000, 0.000, 0.964], [0.500, 0.500, 0.287]],
  "e_form_ev_per_atom": -0.3612
}



{
  "formula": "P3Rh",
  "functional": "PBEsol",
  "state": "optimized geometry",
  "lattice": [[-0.194, 4.771, 4.988], [3.633, -5.455, 2.173], [2.993, 2.667, -5.622]],
  "species": ["P", "P", "Rh", "P", "P", "P", "P", "P", "P", "P", "Rh", "P", "P", "Rh", "Rh", "P"],
  "fractional_positions": [[0.786, 0.141, 0.645], [0.859, 0.355, 0.214], [0.000, 0.500, 0.000], [0.355, 0.214, 0.859], [0.141, 0.645, 0.786], [0.355, 0.496, 0.141], [0.645, 0.504, 0.859], [0.141, 0.355, 0.496], [0.859, 0.645, 0.504], [0.214, 0.859, 0.355], [0.500, 0.500, 0.500], [0.645, 0.786, 0.141], [0.496, 0.141, 0.355], [0.000, 0.000, 0.500], [0.500, 0.000, 0.000], [0.504, 0.859, 0.645]],
  "e_form_ev_per_atom": -0.6481
}



{
  "formula": "P3Rh",
  "functional": "PBEsol",
  "state": "optimized geometry",
  "lattice": [[3.258, 0.000, 0.000], [0.000, 3.646, 0.000], [-1.629, -1.823, 5.124]],
  "species": ["P", "Rh", "P", "P"],
  "fractional_positions": [[0.164, 0.164, 0.328], [0.000, 0.500, 0.000], [0.500, 0.000, 0.000], [0.836, 0.836, 0.672]],
  "e_form_ev_per_atom": 0.0200
}



{
  "formula": "P3Rh4",
  "functional": "PBEsol",
  "state": "optimized geometry",
  "lattice": [[-2.932, -0.633, 1.404], [3.143, -9.105, 2.457], [3.953, 4.090, 10.099]],
  "species": ["Rh", "Rh", "Rh", "P", "P", "P", "P", "P", "P", "Rh", "Rh", "Rh", "P", "P", "Rh", "P", "P", "P", "Rh", "Rh", "Rh", "Rh", "Rh", "Rh", "Rh", "Rh", "P", "Rh"],
  "fractional_positions": [[0.250, 0.406, 0.936], [0.750, 0.789, 0.795], [0.750, 0.594, 0.064], [0.750, 0.576, 0.869], [0.250, 0.424, 0.131], [0.250, 0.582, 0.373], [0.750, 0.924, 0.369], [0.750, 0.240, 0.377], [0.250, 0.918, 0.873], [0.250, 0.932, 0.228], [0.250, 0.568, 0.728], [0.750, 0.882, 0.026], [0.750, 0.082, 0.127], [0.250, 0.740, 0.123], [0.250, 0.382, 0.474], [0.750, 0.418, 0.627], [0.250, 0.076, 0.631], [0.750, 0.260, 0.877], [0.250, 0.094, 0.436], [0.750, 0.906, 0.564], [0.750, 0.711, 0.295], [0.250, 0.211, 0.205], [0.750, 0.068, 0.772], [0.250, 0.118, 0.974], [0.750, 0.618, 0.526], [0.250, 0.289, 0.705], [0.250, 0.760, 0.623], [0.750, 0.432, 0.272]],
  "e_form_ev_per_atom": -0.7658
}



{
  "formula": "PRu2Rh",
  "functional": "PBEsol",
  "state": "optimized geometry",
  "lattice": [[-2.199, -0.804, 1.540], [2.236, -0.321, 3.024], [0.075, 5.064, 0.482]],
  "species": ["P", "Ru", "Rh", "Ru"],
  "fractional_positions": [[0.500, 0.500, 0.000], [0.135, 0.000, 0.766], [0.500, 0.500, 0.500], [0.865, 0.000, 0.234]],
  "e_form_ev_per_atom": -0.1810
}



{
  "formula": "P2RuRh",
  "functional": "PBEsol",
  "state": "optimized geometry",
  "lattice": [[-1.658, -0.598, -3.633], [1.963, -3.225, 1.878], [-2.232, -3.005, 1.513]],
  "species": ["P", "P", "Rh", "Ru"],
  "fractional_positions": [[0.250, 0.500, 0.250], [0.750, 0.500, 0.750], [0.500, 0.000, 0.500], [0.000, 0.000, 0.000]],
  "e_form_ev_per_atom": -0.2202
}



{
  "formula": "P2RuRh",
  "functional": "PBEsol",
  "state": "optimized geometry",
  "lattice": [[-0.520, 0.912, 3.083], [-3.123, -0.886, -0.264], [1.156, -4.529, 1.534]],
  "species": ["P", "P", "Rh", "Ru"],
  "fractional_positions": [[0.000, 0.000, 0.955], [0.500, 0.500, 0.301], [0.000, 0.000, 0.436], [0.500, 0.500, 0.807]],
  "e_form_ev_per_atom": -0.4604
}



{
  "formula": "P2RuRh",
  "functional": "PBEsol",
  "state": "optimized geometry",
  "lattice": [[2.866, 0.000, 0.000], [1.433, 2.482, 0.000], [1.433, 0.827, 7.227]],
  "species": ["P", "Rh", "P", "Ru"],
  "fractional_positions": [[0.251, 0.251, 0.247], [0.500, 0.500, 0.500], [0.749, 0.749, 0.753], [0.000, 0.000, 0.000]],
  "e_form_ev_per_atom": -0.4027
}



{
  "formula": "P2RuRh",
  "functional": "PBEsol",
  "state": "optimized geometry",
  "lattice": [[-1.523, 1.051, -2.270], [-3.143, 0.533, 2.356], [1.412, 4.110, 0.954]],
  "species": ["Ru", "P", "P", "Rh"],
  "fractional_positions": [[0.500, 0.779, 0.500], [0.000, 0.257, 0.500], [0.500, 0.993, 0.000], [0.000, 0.472, 0.000]],
  "e_form_ev_per_atom": -0.5069
}



{
  "formula": "PRuRhS2",
  "functional": "PBEsol",
  "state": "optimized geometry",
  "lattice": [[4.401, 0.000, 0.000], [0.000, 4.494, 0.000], [0.000, 0.000, 4.494]],
  "species": ["S", "Rh", "S", "P", "Ru"],
  "fractional_positions": [[0.000, 0.500, 0.000], [0.500, 0.500, 0.500], [0.000, 0.000, 0.500], [0.500, 0.000, 0.000], [0.000, 0.000, 0.000]],
  "formation_energy_uncorrected_ev_per_atom": 0.88
}



{
  "formula": "PRuRhS2",
  "functional": "PBEsol",
  "state": "optimized geometry",
  "lattice": [[4.337, 0.000, 0.000], [0.000, 4.509, 0.000], [0.000, 0.000, 4.509]],
  "species": ["Ru", "Rh", "S", "P", "S"],
  "fractional_positions": [[0.500, 0.500, 0.500], [0.000, 0.000, 0.000], [0.000, 0.500, 0.000], [0.500, 0.000, 0.000], [0.000, 0.000, 0.500]],
  "formation_energy_uncorrected_ev_per_atom": 1.03
}



{
  "formula": "PRh2S",
  "functional": "PBEsol",
  "state": "optimized geometry",
  "lattice": [[4.200, 0.000, 0.000], [2.100, 3.638, 0.000], [2.100, 1.213, 3.429]],
  "species": ["Rh", "S", "P", "Rh"],
  "fractional_positions": [[0.750, 0.750, 0.750], [0.500, 0.500, 0.500], [0.000, 0.000, 0.000], [0.250, 0.250, 0.250]],
  "formation_energy_uncorrected_ev_per_atom": -0.12
}



{
  "formula": "SiP2RhS",
  "functional": "PBEsol",
  "state": "optimized geometry",
  "lattice": [[-1.486, -0.249, 4.029], [2.385, -3.582, 0.658], [3.317, 2.462, 1.376]],
  "species": ["P", "S", "Si", "P", "Rh"],
  "fractional_positions": [[0.000, 0.000, 0.500], [0.500, 0.000, 0.000], [0.000, 0.000, 0.000], [0.000, 0.500, 0.000], [0.500, 0.500, 0.500]],
  "formation_energy_uncorrected_ev_per_atom": 0.77
}



{
  "formula": "SrPRhS2",
  "functional": "PBEsol",
  "state": "optimized geometry",
  "lattice": [[5.251, 0.000, 0.000], [0.000, 5.251, 0.000], [0.000, 0.000, 5.257]],
  "species": ["S", "Sr", "S", "P", "Rh"],
  "fractional_positions": [[0.500, 0.000, 0.000], [0.000, 0.000, 0.000], [0.000, 0.500, 0.000], [0.000, 0.000, 0.500], [0.500, 0.500, 0.500]],
  "formation_energy_uncorrected_ev_per_atom": 1.46
}



{
  "formula": "TaPRhS2",
  "functional": "PBEsol",
  "state": "optimized geometry",
  "lattice": [[4.440, 0.000, 0.000], [0.000, 4.464, 0.000], [0.000, 0.000, 4.464]],
  "species": ["Ta", "Rh", "S", "P", "S"],
  "fractional_positions": [[0.500, 0.500, 0.500], [0.000, 0.000, 0.000], [0.000, 0.000, 0.500], [0.500, 0.000, 0.000], [0.000, 0.500, 0.000]],
  "formation_energy_uncorrected_ev_per_atom": 0.70
}



{
  "formula": "SbPRh",
  "functional": "PBEsol",
  "state": "optimized geometry",
  "lattice": [[-2.476, 0.062, -1.705], [0.049, -3.001, -0.180], [-2.111, 1.126, 5.761]],
  "species": ["Sb", "P", "Rh"],
  "fractional_positions": [[0.682, 0.682, 0.363], [0.958, 0.958, 0.916], [0.360, 0.360, 0.720]],
  "formation_energy_uncorrected_ev_per_atom": -0.19
}



{
  "formula": "SbPRh3",
  "functional": "PBEsol",
  "state": "optimized geometry",
  "lattice": [[4.730, 0.000, 0.000], [0.000, 4.730, 0.000], [0.000, 0.000, 4.730]],
  "species": ["Rh", "Rh", "P", "Sb", "Rh"],
  "fractional_positions": [[0.000, 0.500, 0.000], [0.000, 0.000, 0.500], [0.500, 0.500, 0.500], [0.000, 0.000, 0.000], [0.500, 0.000, 0.000]],
  "formation_energy_uncorrected_ev_per_atom": 1.36
}



{
  "formula": "Zn2SbPRh",
  "functional": "PBEsol",
  "state": "optimized geometry",
  "lattice": [[4.309, 0.000, 0.000], [0.000, 4.309, 0.000], [0.000, 0.000, 5.327]],
  "species": ["Zn", "Rh", "P", "Zn", "Sb"],
  "fractional_positions": [[0.500, 0.000, 0.000], [0.500, 0.500, 0.500], [0.000, 0.000, 0.000], [0.000, 0.500, 0.000], [0.000, 0.000, 0.500]],
  "formation_energy_uncorrected_ev_per_atom": 0.70
}



{
  "formula": "ScPRh2",
  "functional": "PBEsol",
  "state": "optimized geometry",
  "lattice": [[-1.075, -0.715, 3.112], [0.627, -3.266, -0.534], [4.784, 0.625, 1.796]],
  "species": ["P", "Rh", "Rh", "Sc"],
  "fractional_positions": [[0.500, 0.500, 0.802], [0.000, 0.000, 0.954], [0.500, 0.500, 0.265], [0.000, 0.000, 0.480]],
  "e_form_ev_per_atom": -0.7246
}



{
  "formula": "ScP4Rh",
  "functional": "PBEsol",
  "state": "optimized geometry",
  "lattice": [[-1.232, 3.120, 3.664], [1.068, -1.157, 4.712], [3.540, 2.498, 2.430]],
  "species": ["P", "P", "Rh", "P", "Sc", "P"],
  "fractional_positions": [[0.377, 0.869, 0.377], [0.869, 0.377, 0.377], [0.750, 0.750, 0.750], [0.377, 0.377, 0.869], [0.000, 0.000, 0.000], [0.377, 0.377, 0.377]],
  "e_form_ev_per_atom": 0.0375
}



{
  "formula": "ScP4Rh6",
  "functional": "PBEsol",
  "state": "optimized geometry",
  "lattice": [[3.636, 0.000, 0.000], [0.000, 6.898, 0.000], [0.000, -3.449, 5.973]],
  "species": ["P", "Sc", "Rh", "P", "P", "Rh", "Rh", "Rh", "Rh", "P", "Rh"],
  "fractional_positions": [[0.500, 0.807, 0.179], [0.000, 0.000, 0.000], [0.500, 0.208, 0.819], [0.500, 0.372, 0.193], [0.000, 0.333, 0.667], [0.000, 0.508, 0.443], [0.500, 0.611, 0.792], [0.000, 0.557, 0.065], [0.500, 0.181, 0.389], [0.500, 0.821, 0.628], [0.000, 0.935, 0.492]],
  "e_form_ev_per_atom": -0.9374
}



| no. | total DFT energy (no corrections) (eV per cell) |
| --- | --- |
| 1 | -34.75 |
| 2 | -33.35 |
| 3 | -42.39 |
| 4 | -32.28 |
| 5 | -293.67 |
| 6 | -38.75 |
| 7 | -112.42 |
| 8 | -25.43 |
| 9 | -221.16 |
| 10 | -35.00 |
| 11 | -30.77 |
| 12 | -31.74 |
| 13 | -31.50 |
| 14 | -31.92 |
| 15 | -28.47 |
| 16 | -27.71 |
| 17 | -26.94 |
| 18 | -25.99 |
| 19 | -17.26 |
| 20 | -31.76 |
| 21 | -19.06 |
| 22 | -27.94 |
| 23 | -18.17 |
| 24 | -31.57 |
| 25 | -37.68 |
| 26 | -88.91 |